First-principles (GGA-PBE) data for a geometry-optimized TbDySn2 structure, as listed in Alexandria.

POSCAR file:
```
TbDySn2
1.0
4.4350 0.0000 0.0000
0.0000 4.8870 0.0000
0.0000 0.0000 4.8870
Sn Dy Tb
2 1 1
Cartesian
0.0000 0.0000 2.4435
0.0000 2.4435 0.0000
2.2175 0.0000 0.0000
2.2175 2.4435 2.4435
```

Results
- total magnetic moment (μB per cell) = 0.01
- space-group type = P4/mmm
- E_form (eV per atom) = -0.623